[1]
DyYFe4 | meta-GGA SCAN | PBEsol geometry

- ΔE_f (eV/f.u.) = -0.076
- space-group type = No. 216
- total moment (μB/f.u.) = 7.72

Cell lengths 5.0197, 5.0197, 5.0197 Å; angles 60.00, 60.00, 60.00 degrees
Closest atoms and distances in Å follow each position.
Sites, in units of the cell vectors:
Dy 0.0000 0.0000 0.0000  12 Fe 2.94, 4 Y 3.07
Y 0.7500 0.7500 0.7500  12 Fe 2.94, 4 Dy 3.07
Fe 0.3749 0.3749 0.3749  6 Fe 2.51
Fe 0.3749 0.3749 0.8754  6 Fe 2.51
Fe 0.3749 0.8754 0.3749  6 Fe 2.51
Fe 0.8754 0.3749 0.3749  6 Fe 2.51

[2]
DyGa3 | meta-GGA SCAN | PBEsol geometry

- ΔE_f (eV/f.u.) = -2.539
- space-group type = No. 194
- total moment (μB/f.u.) = 0.00

Cell lengths 6.1653, 6.1653, 4.4770 Å; angles 90.00, 90.00, 120.00 degrees
Closest atoms and distances in Å follow each position.
Sites, in units of the cell vectors:
Dy 0.3333 0.6667 0.2500  12 Ga 2.99-3.09
Dy 0.6667 0.3333 0.7500  12 Ga 2.99-3.09
Ga 0.1480 0.2960 0.7500  6 Ga 2.74, 2 Dy 2.99
Ga 0.1480 0.8520 0.7500  6 Ga 2.74, 2 Dy 2.99
Ga 0.2960 0.1480 0.2500  6 Ga 2.74, 2 Dy 2.99
Ga 0.7040 0.8520 0.7500  6 Ga 2.74, 2 Dy 2.99
Ga 0.8520 0.1480 0.2500  6 Ga 2.74, 2 Dy 2.99
Ga 0.8520 0.7040 0.2500  6 Ga 2.74, 2 Dy 2.99